KHPdF6 | GGA-PBE | relaxed

Unit cell a=6.108 b=5.615 c=5.355 alpha=75.86 beta=80.82 gamma=47.68
Fractional positions:
K: 0.845 0.272 0.003
H: 0.768 0.731 0.338
Pd: 0.341 0.289 0.527
F: 0.955 0.447 0.404
F: 0.401 0.924 0.762
F: 0.697 0.156 0.633
F: 0.128 0.533 0.796
F: 0.281 0.647 0.281
F: 0.584 0.001 0.255

Values from the calculation:
- Crystal system: triclinic
- Space group: P1
- M_tot: 0.00 μB per formula unit
- Calculated total energy: -4.05 eV/atom